(1)
Compound: CaAgW2
Source: Alexandria
Functional: PBE
Structure: optimized geometry

a = 4.217 Å, b = 2.833 Å, c = 6.886 Å
α = 73.18°, β = 90.00°, γ = 90.00°
Sites, in units of the cell vectors:
1 W 0.000 0.996 0.047
2 W 0.500 0.181 0.226
3 Ca 0.500 0.818 0.749
4 Ag 0.000 0.505 0.478

Properties
**Magnetization**: 0.00 μB per formula unit
**Mass density**: 10.87 g/cm³
**E**: -28.51 eV/cell
**V**: 78.8 Å³/f.u.



(2)
Compound: ScNi2W
Source: Alexandria
Functional: PBE
Structure: optimized geometry

a = 4.525 Å, b = 4.525 Å, c = 2.813 Å
α = 90.00°, β = 90.00°, γ = 90.00°
Sites, in units of the cell vectors:
1 W 0.000 0.500 0.500
2 Sc 0.500 0.000 0.500
3 Ni 0.000 0.000 0.000
4 Ni 0.500 0.500 0.000

Properties
**Magnetization**: 0.00 μB per formula unit
**Mass density**: 9.98 g/cm³
**E**: -31.08 eV/cell
**V**: 57.6 Å³/f.u.